# MnHgOs2 (meta-GGA SCAN, single point on PBEsol structure)
# DFT formation energy (eV per atom): 0.4054
data_MnHgOs2
_chemical_formula_sum 'Mn3 Hg3 Os6'
_symmetry_space_group_name_H-M 'R -3 m'
_symmetry_Int_Tables_number 166
_symmetry_space_group_name_Hall '-R 3 2"'
_cell_length_a 2.7296
_cell_length_b 2.7296
_cell_length_c 27.0866
_cell_angle_alpha 90.00
_cell_angle_beta 90.00
_cell_angle_gamma 120.00
loop_
_atom_site_label
_atom_site_type_symbol
_atom_site_fract_x
_atom_site_fract_y
_atom_site_fract_z
Mn1 Mn 0.0000 0.0000 0.0000
Hg1 Hg 0.0000 0.0000 0.5000
Os1 Os 0.0000 0.0000 0.2610


# Mn2HgOs (meta-GGA SCAN, single point on PBEsol structure)
# DFT formation energy (eV per atom): 0.2289
data_Mn2HgOs
_chemical_formula_sum 'Mn4 Hg2 Os2'
_symmetry_space_group_name_H-M 'C 1 m 1'
_symmetry_Int_Tables_number 8
_cell_length_a 8.8134
_cell_length_b 2.7882
_cell_length_c 4.7195
_cell_angle_alpha 90.00
_cell_angle_beta 100.44
_cell_angle_gamma 90.00
loop_
_symmetry_equiv_pos_as_xyz
'x,y,z'
'x,-y,z'
'x+1/2,y+1/2,z'
'x+1/2,-y+1/2,z'
loop_
_atom_site_label
_atom_site_type_symbol
_atom_site_fract_x
_atom_site_fract_y
_atom_site_fract_z
Mn1 Mn 0.0000 0.0000 0.0000
Mn2 Mn 0.2480 0.5000 0.2581
Hg1 Hg 0.0039 0.5000 0.5034
Os1 Os 0.2632 0.0000 0.8192